This record from Alexandria via LeMat-Bulk describes crystalline Pm2Si2Ge3 at its relaxed geometry. The functional is GGA-PBE.

Unit cell a=4.495 b=3.959 c=8.919 alpha=90.00 beta=104.30 gamma=90.00
Fractional coordinates of all 7 atoms:
Pm (0.141, 0.000, 0.281)
Pm (0.859, 0.000, 0.719)
Si (0.426, 0.500, 0.850)
Si (0.574, 0.500, 0.150)
Ge (0.000, 0.500, 0.000)
Ge (0.283, 0.500, 0.568)
Ge (0.717, 0.500, 0.432)

Uncorrected formation energy: -2.5 eV per formula unit
Theoretical density: 6.09 g cm⁻³
N(E_F): 4.174 states/eV/cell
Crystal system: monoclinic

***

This record from Alexandria via LeMat-Bulk describes crystalline Cd2ReSb at its relaxed geometry. The functional is GGA-PBE.

Unit cell a=5.428 b=5.428 c=3.007 alpha=90.00 beta=90.00 gamma=115.25
Fractional coordinates of all 4 atoms:
Cd (0.000, 0.500, 0.000)
Cd (0.500, 0.000, 0.000)
Re (0.000, 0.000, 0.500)
Sb (0.500, 0.500, 0.500)

Uncorrected formation energy: 2.7 eV per formula unit
Theoretical density: 11.04 g cm⁻³
N(E_F): 3.702 states/eV/cell
Crystal system: orthorhombic

***

This record from Alexandria via LeMat-Bulk describes crystalline CaYSbI2 at its relaxed geometry. The functional is GGA-PBE.

Unit cell a=5.847 b=5.847 c=6.112 alpha=90.00 beta=90.00 gamma=90.00
Fractional coordinates of all 5 atoms:
Ca (0.000, 0.000, 0.000)
Y (0.500, 0.500, 0.500)
Sb (0.500, 0.500, 0.000)
I (0.000, 0.500, 0.500)
I (0.500, 0.000, 0.500)

Uncorrected formation energy: -3.5 eV per formula unit
Theoretical density: 4.01 g cm⁻³
N(E_F): 0.525 states/eV/cell
Crystal system: tetragonal